(1)
This record from the Alexandria database describes a geometry-optimized Cs2K12Au7 structure. The functional is PBE-GGA.

a = 5.2040 Å, b = 13.9840 Å, c = 13.9840 Å
α = 120.00°, β = 90.00°, γ = 90.00°
Positions (direct):
K 0.5000 0.8925 0.6152
K 0.0000 0.4925 0.9434
Au 0.0000 0.3333 0.6667
K 0.0000 0.7672 0.7293
Au 0.5000 0.4566 0.0779
K 0.0000 0.4509 0.5075
K 0.0000 0.0566 0.5491
Au 0.0000 0.7467 0.9592
K 0.5000 0.2092 0.4478
Cs 0.5000 0.0000 0.0000
Au 0.0000 0.0408 0.7874
Au 0.5000 0.6212 0.5434
K 0.5000 0.7227 0.1075
K 0.5000 0.5522 0.7613
Cs 0.0000 0.6667 0.3333
K 0.0000 0.9621 0.2328
Au 0.5000 0.9221 0.3788
Au 0.0000 0.2126 0.2533
K 0.0000 0.2707 0.0379
K 0.5000 0.2387 0.7908
K 0.5000 0.3848 0.2773

Computed properties:
- Total magnetization: 0.00 μB/cell
- Energy relative to the elements: -0.20 eV/atom
- VASP energy: -1.996 eV per atom
- Calculated volume: 41.968 Å³ per atom


(2)
This record from the Alexandria database describes a geometry-optimized YPS2Cl structure. The functional is PBE-GGA.

a = 5.1616 Å, b = 5.1616 Å, c = 5.7193 Å
α = 90.00°, β = 90.00°, γ = 90.00°
Positions (direct):
P 0.0000 0.0000 0.5000
S 0.5000 0.0000 0.0000
S 0.0000 0.5000 0.0000
Y 0.0000 0.0000 0.0000
Cl 0.5000 0.5000 0.5000

Computed properties:
- Total magnetization: 1.59 μB/cell
- Uncorrected formation energy: 0.8 eV/f.u.
- Distance to the lowest polymorph of the same formula: 697.5 meV/atom
- VASP energy: -4.227 eV per atom
- Calculated volume: 30.475 Å³ per atom


(3)
This record from the Alexandria database describes a geometry-optimized Hg15Au structure. The functional is PBE-GGA.

a = 7.3839 Å, b = 7.3839 Å, c = 9.4001 Å
α = 90.00°, β = 90.00°, γ = 120.00°
Positions (direct):
Hg 0.8427 0.1573 0.7645
Hg 0.5147 0.4853 0.5000
Hg 0.0000 0.0000 0.5000
Au 0.0000 0.0000 0.0000
Hg 0.3333 0.6667 0.2708
Hg 0.8427 0.6855 0.2355
Hg 0.3145 0.1573 0.7645
Hg 0.4904 0.5096 0.0000
Hg 0.3333 0.6667 0.7292
Hg 0.8427 0.6855 0.7645
Hg 0.0191 0.5096 0.0000
Hg 0.9707 0.4853 0.5000
Hg 0.8427 0.1573 0.2355
Hg 0.5147 0.0293 0.5000
Hg 0.3145 0.1573 0.2355
Hg 0.4904 0.9809 0.0000

Computed properties:
- Total magnetization: 0.00 μB/cell
- Energy relative to the elements: 0.04 eV/atom
- VASP energy: -0.445 eV per atom
- Calculated volume: 27.741 Å³ per atom


(4)
This record from the Alexandria database describes a geometry-optimized Tb5Cd4Ir structure. The functional is PBE-GGA.

a = 3.6286 Å, b = 3.6286 Å, c = 19.1211 Å
α = 90.00°, β = 90.00°, γ = 90.00°
Positions (direct):
Cd 0.0000 0.0000 0.6030
Cd 0.0000 0.0000 0.1926
Cd 0.0000 0.0000 0.3970
Ir 0.0000 0.0000 0.0000
Tb 0.5000 0.5000 0.7064
Tb 0.5000 0.5000 0.2936
Cd 0.0000 0.0000 0.8074
Tb 0.5000 0.5000 0.0833
Tb 0.5000 0.5000 0.9167
Tb 0.5000 0.5000 0.5000

Computed properties:
- Total magnetization: 0.10 μB/cell
- Energy relative to the elements: -0.43 eV/atom
- VASP energy: -3.994 eV per atom
- Calculated volume: 25.177 Å³ per atom


(5)
This record from the Alexandria database describes a geometry-optimized Rb2TeRhI6 structure. The functional is PBE-GGA.

a = 8.3229 Å, b = 8.3229 Å, c = 8.2870 Å
α = 59.86°, β = 59.86°, γ = 90.00°
Positions (direct):
I 0.2651 0.2651 0.4698
I 0.2665 0.7335 0.0000
I 0.7335 0.7335 0.0000
Rb 0.7500 0.2500 0.5000
I 0.2665 0.2665 0.0000
I 0.7335 0.2665 0.0000
I 0.7349 0.7349 0.5302
Rh 0.5000 0.5000 0.0000
Rb 0.2500 0.7500 0.5000
Te 0.0000 0.0000 0.0000

Computed properties:
- Total magnetization: 0.00 μB/cell
- Uncorrected formation energy: -6.0 eV/f.u.
- VASP energy: -2.775 eV per atom
- Calculated volume: 40.415 Å³ per atom


(6)
This record from the Alexandria database describes a geometry-optimized Gd2ScAg structure. The functional is PBE-GGA.

a = 3.6566 Å, b = 3.6566 Å, c = 7.9886 Å
α = 90.00°, β = 90.00°, γ = 90.00°
Positions (direct):
Ag 0.5000 0.5000 0.0000
Gd 0.0000 0.0000 0.7680
Sc 0.5000 0.5000 0.5000
Gd 0.0000 0.0000 0.2320

Computed properties:
- Total magnetization: 15.25 μB/cell
- Energy relative to the elements: -0.11 eV/atom
- Distance to the lowest polymorph of the same formula: 0.0 meV/atom
- VASP energy: -9.444 eV per atom
- Calculated volume: 26.703 Å³ per atom


(7)
This record from the Alexandria database describes a geometry-optimized TlGa2W4 structure. The functional is PBE-GGA.

a = 4.9963 Å, b = 4.9963 Å, c = 7.3698 Å
α = 70.19°, β = 70.19°, γ = 90.00°
Positions (direct):
W 0.0000 0.5000 0.0000
Ga 0.4003 0.4003 0.1993
W 0.5000 0.0000 0.0000
W 0.2050 0.2050 0.5900
W 0.7950 0.7950 0.4100
Tl 0.0000 0.0000 0.0000
Ga 0.5997 0.5997 0.8007

Computed properties:
- Total magnetization: 4.76 μB/cell
- Energy relative to the elements: 2.55 eV/atom
- VASP energy: -6.059 eV per atom
- Calculated volume: 23.065 Å³ per atom


(8)
This record from the Alexandria database describes a geometry-optimized Tm3HgPb3 structure. The functional is PBE-GGA.

a = 9.2283 Å, b = 9.2283 Å, c = 9.2283 Å
α = 90.00°, β = 90.00°, γ = 90.00°
Positions (direct):
Tm 0.4879 0.7892 0.3657
Pb 0.3545 0.1455 0.8545
Pb 0.6013 0.1013 0.3987
Tm 0.3657 0.4879 0.7892
Pb 0.8199 0.6801 0.3199
Pb 0.3987 0.6013 0.1013
Tm 0.8657 0.0121 0.2108
Tm 0.9879 0.7108 0.6343
Tm 0.7108 0.6343 0.9879
Tm 0.7892 0.3657 0.4879
Pb 0.8545 0.3545 0.1455
Tm 0.2108 0.8657 0.0121
Pb 0.3199 0.8199 0.6801
Pb 0.1801 0.1801 0.1801
Tm 0.5121 0.2892 0.1343
Hg 0.4424 0.4424 0.4424
Pb 0.6801 0.3199 0.8199
Hg 0.5576 0.9424 0.0576
Hg 0.9424 0.0576 0.5576
Tm 0.2892 0.1343 0.5121
Pb 0.1455 0.8545 0.3545
Pb 0.1013 0.3987 0.6013
Tm 0.0121 0.2108 0.8657
Pb 0.8987 0.8987 0.8987
Hg 0.0576 0.5576 0.9424
Pb 0.6455 0.6455 0.6455
Tm 0.6343 0.9879 0.7108
Tm 0.1343 0.5121 0.2892

Computed properties:
- Total magnetization: 0.00 μB/cell
- Energy relative to the elements: -0.30 eV/atom
- Distance to the lowest polymorph of the same formula: 0.0 meV/atom
- VASP energy: -3.854 eV per atom
- Calculated volume: 28.068 Å³ per atom


(9)
This record from the Alexandria database describes a geometry-optimized SrSc structure. The functional is PBE-GGA.

a = 7.3899 Å, b = 7.3899 Å, c = 5.5962 Å
α = 90.00°, β = 90.00°, γ = 150.98°
Positions (direct):
Sc 0.9477 0.0523 0.7500
Sr 0.3340 0.6660 0.2500
Sc 0.0523 0.9477 0.2500
Sr 0.6660 0.3340 0.7500

Computed properties:
- Total magnetization: 2.26 μB/cell
- Energy relative to the elements: 0.34 eV/atom
- Distance to the lowest polymorph of the same formula: 148.9 meV/atom
- VASP energy: -3.663 eV per atom
- Calculated volume: 37.060 Å³ per atom


(10)
This record from the Alexandria database describes a geometry-optimized LiYCl2 structure. The functional is PBE-GGA.

a = 4.6812 Å, b = 4.6812 Å, c = 3.5120 Å
α = 90.00°, β = 90.00°, γ = 90.06°
Positions (direct):
Cl 0.0000 0.0000 0.0000
Y 0.0000 0.5000 0.5000
Li 0.5000 0.0000 0.5000
Cl 0.5000 0.5000 0.0000

Computed properties:
- Total magnetization: 0.00 μB/cell
- Uncorrected formation energy: -4.5 eV/f.u.
- Distance to the lowest polymorph of the same formula: 380.7 meV/atom
- VASP energy: -4.143 eV per atom
- Calculated volume: 19.240 Å³ per atom


(11)
This record from the Alexandria database describes a geometry-optimized AlCuMoOs structure. The functional is PBE-GGA.

a = 4.3193 Å, b = 4.3193 Å, c = 4.3193 Å
α = 60.00°, β = 60.00°, γ = 60.00°
Positions (direct):
Os 0.7500 0.7500 0.7500
Cu 0.2500 0.2500 0.2500
Mo 0.5000 0.5000 0.5000
Al 0.0000 0.0000 0.0000

Computed properties:
- Total magnetization: 0.00 μB/cell
- Energy relative to the elements: -0.11 eV/atom
- VASP energy: -7.587 eV per atom
- Calculated volume: 14.245 Å³ per atom


(12)
This record from the Alexandria database describes a geometry-optimized Cs3MgTl3Br8 structure. The functional is PBE-GGA.

a = 9.9917 Å, b = 9.9895 Å, c = 9.5775 Å
α = 121.46°, β = 90.00°, γ = 120.01°
Positions (direct):
Tl 0.0000 0.5000 0.0000
Br 0.8121 0.0122 0.7123
Cs 0.0000 0.5000 0.5000
Tl 0.0000 0.0000 0.0000
Br 0.7997 0.5994 0.2874
Br 0.2001 0.0122 0.7123
Tl 0.5000 0.5000 0.0000
Br 0.2422 0.4845 0.2267
Br 0.7999 0.9878 0.2877
Br 0.1879 0.9878 0.2877
Br 0.7578 0.5155 0.7733
Mg 0.0000 0.0000 0.5000
Cs 0.5000 0.5000 0.5000
Cs 0.5000 0.0000 0.5000
Br 0.2003 0.4006 0.7126

Computed properties:
- Total magnetization: 0.00 μB/cell
- Uncorrected formation energy: -20.1 eV/f.u.
- VASP energy: -2.984 eV per atom
- Calculated volume: 44.042 Å³ per atom


(13)
This record from the Alexandria database describes a geometry-optimized Sn2HgHRh structure. The functional is PBE-GGA.

a = 5.3147 Å, b = 5.3147 Å, c = 3.5049 Å
α = 90.00°, β = 90.00°, γ = 90.00°
Positions (direct):
Sn 0.0000 0.5000 0.0000
H 0.0000 0.0000 0.5000
Sn 0.5000 0.0000 0.0000
Hg 0.5000 0.5000 0.5000
Rh 0.0000 0.0000 0.0000

Computed properties:
- Total magnetization: 0.00 μB/cell
- VASP energy: -3.781 eV per atom
- Calculated volume: 19.800 Å³ per atom


(14)
This record from the Alexandria database describes a geometry-optimized ReAg3F8 structure. The functional is PBE-GGA.

a = 6.3552 Å, b = 6.3552 Å, c = 7.4762 Å
α = 90.00°, β = 90.00°, γ = 127.54°
Positions (direct):
F 0.2683 0.2588 0.6850
Ag 0.0000 0.5000 0.2279
Ag 0.5000 0.5000 0.0000
F 0.3271 0.6729 0.5000
F 0.7317 0.7412 0.6850
Re 0.5000 0.5000 0.5000
F 0.7412 0.7317 0.3150
F 0.6867 0.3133 0.0000
F 0.6729 0.3271 0.5000
F 0.3133 0.6867 0.0000
Ag 0.5000 0.0000 0.7721
F 0.2588 0.2683 0.3150

Computed properties:
- Total magnetization: 1.99 μB/cell
- Uncorrected formation energy: -18.2 eV/f.u.
- VASP energy: -4.513 eV per atom
- Calculated volume: 19.953 Å³ per atom


(15)
This record from the Alexandria database describes a geometry-optimized Rb3Tl3Sb2 structure. The functional is PBE-GGA.

a = 7.3119 Å, b = 9.9703 Å, c = 18.1571 Å
α = 90.00°, β = 90.00°, γ = 90.00°
Positions (direct):
Rb 0.3677 0.6702 0.7500
Tl 0.3663 0.6737 0.2500
Rb 0.9053 0.5277 0.8962
Tl 0.5371 0.3235 0.4487
Sb 0.6016 0.6213 0.3914
Sb 0.3984 0.3787 0.8914
Tl 0.0371 0.1765 0.9487
Tl 0.4629 0.6765 0.9487
Rb 0.8677 0.8298 0.2500
Rb 0.6323 0.3298 0.2500
Tl 0.5371 0.3235 0.0513
Sb 0.8984 0.1213 0.3914
Rb 0.4053 0.9723 0.3961
Sb 0.1016 0.8787 0.6086
Sb 0.1016 0.8787 0.8914
Rb 0.5947 0.0277 0.8961
Tl 0.4629 0.6765 0.5513
Sb 0.3984 0.3787 0.6086
Rb 0.5947 0.0277 0.6039
Rb 0.0947 0.4723 0.1038
Sb 0.8984 0.1213 0.1086
Rb 0.1323 0.1702 0.7500
Tl 0.8663 0.8263 0.7500
Rb 0.4053 0.9723 0.1038
Sb 0.6016 0.6213 0.1086
Tl 0.6337 0.3263 0.7500
Rb 0.0947 0.4723 0.3961
Tl 0.1337 0.1737 0.2500
Tl 0.9629 0.8235 0.4487
Rb 0.9053 0.5277 0.6039
Tl 0.0371 0.1765 0.5513
Tl 0.9629 0.8235 0.0513

Computed properties:
- Total magnetization: 0.00 μB/cell
- Uncorrected formation energy: -1.9 eV/f.u.
- Distance to the lowest polymorph of the same formula: 44.0 meV/atom
- VASP energy: -2.516 eV per atom
- Calculated volume: 41.365 Å³ per atom


(16)
This record from the Alexandria database describes a geometry-optimized AcMgC2O8 structure. The functional is PBE-GGA.

a = 5.2243 Å, b = 5.8587 Å, c = 6.6840 Å
α = 57.33°, β = 67.00°, γ = 63.52°
Positions (direct):
O 0.1657 0.0127 0.2280
C 0.6390 0.8519 0.8700
O 0.0560 0.4972 0.3909
O 0.4065 0.9872 0.7720
O 0.5935 0.0127 0.2280
O 0.3336 0.3878 0.9450
Mg 0.0000 0.0000 0.0000
O 0.9440 0.5028 0.6091
O 0.6664 0.6122 0.0550
C 0.3610 0.1481 0.1300
Ac 0.5000 0.5000 0.5000
O 0.8343 0.9872 0.7720

Computed properties:
- Total magnetization: 1.03 μB/cell
- Uncorrected formation energy: -22.1 eV/f.u.
- VASP energy: -7.157 eV per atom
- Calculated volume: 12.589 Å³ per atom


(17)
This record from the Alexandria database describes a geometry-optimized Na15Tl4Sn structure. The functional is PBE-GGA.

a = 4.8741 Å, b = 4.8741 Å, c = 25.6861 Å
α = 90.00°, β = 90.00°, γ = 90.00°
Positions (direct):
Tl 0.0000 0.0000 0.8045
Na 0.0000 0.5000 0.5000
Na 0.5000 0.0000 0.9061
Na 0.5000 0.0000 0.5000
Tl 0.0000 0.0000 0.1955
Tl 0.0000 0.0000 0.6012
Na 0.0000 0.5000 0.7023
Na 0.5000 0.5000 0.6010
Na 0.5000 0.0000 0.0939
Na 0.0000 0.5000 0.9061
Na 0.5000 0.5000 0.3990
Sn 0.0000 0.0000 0.0000
Na 0.0000 0.5000 0.2977
Na 0.5000 0.5000 0.8036
Na 0.5000 0.0000 0.7023
Na 0.5000 0.5000 0.0000
Na 0.5000 0.5000 0.1964
Tl 0.0000 0.0000 0.3988
Na 0.0000 0.5000 0.0939
Na 0.5000 0.0000 0.2977

Computed properties:
- Total magnetization: 0.00 μB/cell
- Energy relative to the elements: -0.08 eV/atom
- VASP energy: -1.740 eV per atom
- Calculated volume: 30.511 Å³ per atom


(18)
This record from the Alexandria database describes a geometry-optimized MgAgI2 structure. The functional is PBE-GGA.

a = 5.4006 Å, b = 5.4006 Å, c = 5.4006 Å
α = 60.00°, β = 60.00°, γ = 60.00°
Positions (direct):
I 0.7500 0.7500 0.7500
Ag 0.5000 0.5000 0.5000
Mg 0.0000 0.0000 0.0000
I 0.2500 0.2500 0.2500

Computed properties:
- Total magnetization: 0.00 μB/cell
- Uncorrected formation energy: -0.4 eV/f.u.
- Distance to the lowest polymorph of the same formula: 216.2 meV/atom
- VASP energy: -1.996 eV per atom
- Calculated volume: 27.845 Å³ per atom


(19)
This record from the Alexandria database describes a geometry-optimized MnIrPt2 structure. The functional is PBE-GGA.

a = 4.4071 Å, b = 4.4071 Å, c = 4.4071 Å
α = 60.00°, β = 60.00°, γ = 60.00°
Positions (direct):
Ir 0.5000 0.5000 0.5000
Pt 0.0000 0.0000 0.0000
Pt 0.2500 0.2500 0.2500
Mn 0.7500 0.7500 0.7500

Computed properties:
- Total magnetization: 3.44 μB/cell
- Energy relative to the elements: 0.05 eV/atom
- VASP energy: -7.476 eV per atom
- Calculated volume: 15.132 Å³ per atom


(20)
This record from the Alexandria database describes a geometry-optimized Ce2GaCo2Ni5 structure. The functional is PBE-GGA.

a = 3.8649 Å, b = 8.5956 Å, c = 8.5956 Å
α = 90.00°, β = 90.00°, γ = 90.00°
Positions (direct):
Ni 0.5000 0.7969 0.9373
Ni 0.5000 0.4373 0.2969
Ce 0.0000 0.1771 0.3229
Co 0.0000 0.1310 0.6310
Ga 0.0000 0.0000 0.0000
Ni 0.5000 0.2969 0.5627
Co 0.0000 0.3690 0.1310
Ni 0.5000 0.0627 0.7969
Ni 0.5000 0.7031 0.4373
Ni 0.5000 0.5000 0.0000
Co 0.0000 0.8690 0.3690
Ce 0.0000 0.8229 0.6771
Ni 0.5000 0.2031 0.0627
Ce 0.0000 0.3229 0.8229
Ce 0.0000 0.6771 0.1771
Ga 0.0000 0.5000 0.5000
Ni 0.5000 0.9373 0.2031
Ni 0.5000 0.5627 0.7031
Ni 0.5000 0.0000 0.5000
Co 0.0000 0.6310 0.8690

Computed properties:
- Total magnetization: 0.00 μB/cell
- Energy relative to the elements: -0.33 eV/atom
- VASP energy: -6.126 eV per atom
- Calculated volume: 14.278 Å³ per atom


(21)
This record from the Alexandria database describes a geometry-optimized Ac3Ga2Ni2 structure. The functional is PBE-GGA.

a = 4.4576 Å, b = 4.4847 Å, c = 9.8392 Å
α = 103.17°, β = 103.09°, γ = 90.00°
Positions (direct):
Ac 0.0000 0.0000 0.0000
Ga 0.1314 0.6314 0.2628
Ac 0.6763 0.1763 0.3526
Ni 0.5665 0.5665 0.1330
Ga 0.8686 0.3686 0.7372
Ac 0.3237 0.8237 0.6474
Ni 0.4335 0.4335 0.8670

Computed properties:
- Total magnetization: 0.00 μB/cell
- Energy relative to the elements: -0.40 eV/atom
- VASP energy: -4.682 eV per atom
- Calculated volume: 26.609 Å³ per atom